[1]
# PBE LiTc2Hg, optimized geometry
# E_form: 0.2982 eV per atom
# uncorrected energy: -5.439 eV/atom
data_LiTc2Hg
_space_group_name_H-M_alt 'C m m 2'
_space_group_IT_number 35
_space_group_name_Hall 'C 2 -2'
_cell_length_a 2.968
_cell_length_b 4.652
_cell_length_c 9.520
_cell_angle_alpha 90.00
_cell_angle_beta 90.00
_cell_angle_gamma 90.00
loop_
_atom_site_label
_atom_site_type_symbol
_atom_site_fract_x
_atom_site_fract_y
_atom_site_fract_z
_atom_site_occupancy
Li1 Li 0.000 0.000 0.000 1
Tc1 Tc 0.000 0.000 0.541 1
Tc2 Tc 0.000 0.500 0.761 1
Hg1 Hg 0.000 0.500 0.259 1

[2]
# PBE HoPaS2, optimized geometry
# offset from the most stable computed form: 0.0 meV/atom
# uncorrected energy: -7.348 eV/atom
# E_form (uncorrected): -1.7656 eV/atom
data_HoPaS2
_space_group_name_H-M_alt 'C 1 2/m 1'
_space_group_IT_number 12
_space_group_name_Hall '-C 2y'
_cell_length_a 6.540
_cell_length_b 3.768
_cell_length_c 7.076
_cell_angle_alpha 90.00
_cell_angle_beta 107.85
_cell_angle_gamma 90.00
loop_
_atom_site_label
_atom_site_type_symbol
_atom_site_fract_x
_atom_site_fract_y
_atom_site_fract_z
_atom_site_occupancy
Ho1 Ho 0.000 0.000 0.000 1
Pa1 Pa 0.000 0.500 0.500 1
S1 S 0.247 0.500 0.241 1

[3]
# PBE Li5Ac2Si3, optimized geometry
# uncorrected energy: -3.587 eV/atom
# E_form (uncorrected): -0.1815 eV/atom
data_Li5Ac2Si3
_space_group_name_H-M_alt 'P -4 m 2'
_space_group_IT_number 115
_space_group_name_Hall 'P -4 -2'
_cell_length_a 4.478
_cell_length_b 4.478
_cell_length_c 11.506
_cell_angle_alpha 90.00
_cell_angle_beta 90.00
_cell_angle_gamma 90.00
loop_
_atom_site_label
_atom_site_type_symbol
_atom_site_fract_x
_atom_site_fract_y
_atom_site_fract_z
_atom_site_occupancy
Li1 Li 0.000 0.000 0.000 1
Li2 Li 0.000 0.000 0.500 1
Li3 Li 0.000 0.500 0.336 1
Li4 Li 0.500 0.500 0.500 1
Ac1 Ac 0.000 0.500 0.798 1
Si1 Si 0.000 0.500 0.107 1
Si2 Si 0.500 0.500 0.000 1

[4]
# PBE NiAg2Ir, optimized geometry
# E_form: 0.3533 eV per atom
# offset from the most stable computed form: 149.9 meV/atom
# uncorrected energy: -4.733 eV/atom
data_NiAg2Ir
_space_group_name_H-M_alt 'C 1 m 1'
_space_group_IT_number 8
_space_group_name_Hall 'C -2y'
_cell_length_a 9.129
_cell_length_b 2.744
_cell_length_c 5.006
_cell_angle_alpha 90.00
_cell_angle_beta 100.90
_cell_angle_gamma 90.00
loop_
_atom_site_label
_atom_site_type_symbol
_atom_site_fract_x
_atom_site_fract_y
_atom_site_fract_z
_atom_site_occupancy
Ni1 Ni 0.000 0.000 0.000 1
Ag1 Ag 0.250 0.000 0.705 1
Ag2 Ag 0.490 0.000 0.468 1
Ir1 Ir 0.233 0.500 0.179 1